[1]
Computed, not measured: a relaxed structure of CdFeW at the GGA-PBEsol level of DFT.

Structure (POSCAR):
```
CdFeW
1.0
4.247 0.000 0.000
2.124 3.678 0.000
2.124 1.226 3.468
W Cd Fe
1 1 1
Cartesian
4.247 2.452 1.734
2.124 1.226 0.867
0.000 0.000 0.000
```

## Properties
- Mass density: 10.79 g cm⁻³
- M_tot: 2.040 μB per formula unit
- E_form: 1679.5 meV/atom
- Density of states at the Fermi level: 1.5 states/eV per cell
- SG: No. 216

[2]
Computed, not measured: a relaxed structure of ScCuOs at the GGA-PBEsol level of DFT.

Structure (POSCAR):
```
ScCuOs
1.0
-2.055 0.867 3.483
-3.982 -1.056 0.369
-1.101 -3.052 2.566
Sc Os Cu
1 1 1
Cartesian
-3.569 -1.621 3.209
0.000 0.000 0.000
-1.784 -0.810 1.605
```

## Properties
- Mass density: 9.91 g cm⁻³
- Energy above the lowest structure with this stoichiometry: 345.4 meV per atom
- M_tot: 0.001 μB per formula unit
- E_form: 404.1 meV/atom
- Density of states at the Fermi level: 3.4 states/eV per cell
- SG: No. 216

[3]
Computed, not measured: a relaxed structure of MnCu2Pb at the GGA-PBEsol level of DFT.

Structure (POSCAR):
```
MnCu2Pb
1.0
-1.169 2.539 1.335
-2.256 0.717 -3.340
-3.197 -4.042 1.291
Cu Pb Mn
2 1 1
Cartesian
-0.997 2.029 1.109
-3.107 1.666 -0.053
-3.899 -2.308 -0.371
-1.972 -0.386 1.249
```

## Properties
- Mass density: 10.03 g cm⁻³
- M_tot: 4.017 μB per formula unit
- E_form: 400.2 meV/atom
- Density of states at the Fermi level: 1.9 states/eV per cell
- SG: No. 38